Sm2Th3Co2 (PBE, relaxed); DFT total energy = -6.75 eV/atom
1.0
3.7237 0.0000 0.0000
-1.8590 5.9050 0.0000
-0.0102 -3.1871 8.3021
Sm Th Co
2 3 2
Direct
0.1676 0.3351 0.2994
0.8324 0.6649 0.7006
0.3812 0.7621 0.0724
0.5000 0.0000 0.5000
0.6188 0.2379 0.9276
0.1270 0.2538 0.7129
0.8730 0.7462 0.2871